(1)
# ScTi2Fe2 (GGA-PBE, relaxed)
data_ScTi2Fe2
_chemical_formula_sum 'Sc2 Ti4 Fe4'
_symmetry_space_group_name_H-M 'P 1'
_symmetry_Int_Tables_number 1
_cell_length_a 7.2825
_cell_length_b 7.2825
_cell_length_c 2.8101
_cell_angle_alpha 90.00
_cell_angle_beta 90.00
_cell_angle_gamma 90.00
loop_
_symmetry_equiv_pos_as_xyz
'x,y,z'
loop_
_atom_site_label
_atom_site_type_symbol
_atom_site_fract_x
_atom_site_fract_y
_atom_site_fract_z
Sc1 Sc 0.0000 0.0000 0.0000
Sc2 Sc 0.5000 0.5000 0.0000
Ti1 Ti 0.1410 0.3590 0.0000
Ti2 Ti 0.3590 0.8590 0.0000
Ti3 Ti 0.6410 0.1410 0.0000
Ti4 Ti 0.8590 0.6410 0.0000
Fe1 Fe 0.1553 0.6553 0.5000
Fe2 Fe 0.3447 0.1553 0.5000
Fe3 Fe 0.6553 0.8447 0.5000
Fe4 Fe 0.8447 0.3447 0.5000
# Fermi-level density of states   13.43 states/eV/cell
# Spin magnetization   1.7 μB/cell
# Uncorrected energy   -39.25 eV/f.u.
# Space group   P4/mbm (127)

(2)
# Hf5ZrSb6 (GGA-PBE, relaxed)
data_Hf5ZrSb6
_chemical_formula_sum 'Hf5 Zr1 Sb6'
_symmetry_space_group_name_H-M 'P 1'
_symmetry_Int_Tables_number 1
_cell_length_a 7.1133
_cell_length_b 7.1133
_cell_length_c 7.0464
_cell_angle_alpha 98.95
_cell_angle_beta 98.95
_cell_angle_gamma 119.26
loop_
_symmetry_equiv_pos_as_xyz
'x,y,z'
loop_
_atom_site_label
_atom_site_type_symbol
_atom_site_fract_x
_atom_site_fract_y
_atom_site_fract_z
Hf1 Hf 0.0000 0.0000 0.0000
Hf2 Hf 0.1871 0.8129 0.5000
Hf3 Hf 0.3695 0.6305 0.0000
Hf4 Hf 0.6305 0.3695 0.0000
Hf5 Hf 0.8129 0.1871 0.5000
Zr1 Zr 0.5000 0.5000 0.5000
Sb1 Sb 0.0613 0.4060 0.2282
Sb2 Sb 0.2146 0.2146 0.7137
Sb3 Sb 0.4060 0.0613 0.2282
Sb4 Sb 0.5940 0.9387 0.7718
Sb5 Sb 0.7854 0.7854 0.2863
Sb6 Sb 0.9387 0.5940 0.7718
# Fermi-level density of states   7.66 states/eV/cell
# Spin magnetization   0.0 μB/cell
# Uncorrected energy   -87.35 eV/f.u.
# Uncorrected formation energy   -358 meV per atom
# Space group   C2/m (12)

(3)
# Rh3Br (GGA-PBE, relaxed)
data_Rh3Br
_chemical_formula_sum 'Rh6 Br2'
_symmetry_space_group_name_H-M 'P 1'
_symmetry_Int_Tables_number 1
_cell_length_a 4.3574
_cell_length_b 5.2528
_cell_length_c 6.5991
_cell_angle_alpha 90.00
_cell_angle_beta 90.00
_cell_angle_gamma 90.00
loop_
_symmetry_equiv_pos_as_xyz
'x,y,z'
loop_
_atom_site_label
_atom_site_type_symbol
_atom_site_fract_x
_atom_site_fract_y
_atom_site_fract_z
Rh1 Rh 0.2500 0.0065 0.1004
Rh2 Rh 0.2500 0.2500 0.7551
Rh3 Rh 0.2500 0.4935 0.1004
Rh4 Rh 0.7500 0.5065 0.8996
Rh5 Rh 0.7500 0.7500 0.2449
Rh6 Rh 0.7500 0.9935 0.8996
Br1 Br 0.2500 0.7500 0.4565
Br2 Br 0.7500 0.2500 0.5435
# Fermi-level density of states   13.80 states/eV/cell
# Spin magnetization   2.2 μB/cell
# Uncorrected energy   -21.73 eV/f.u.
# Uncorrected formation energy   499 meV per atom
# Space group   Pmmn (59)

(4)
# Tb6PmNd3Er2 (GGA-PBE, relaxed)
data_Tb6PmNd3Er2
_chemical_formula_sum 'Tb6 Pm1 Nd3 Er2'
_symmetry_space_group_name_H-M 'P 1'
_symmetry_Int_Tables_number 1
_cell_length_a 6.2175
_cell_length_b 6.2175
_cell_length_c 11.8892
_cell_angle_alpha 94.99
_cell_angle_beta 94.99
_cell_angle_gamma 119.98
loop_
_symmetry_equiv_pos_as_xyz
'x,y,z'
loop_
_atom_site_label
_atom_site_type_symbol
_atom_site_fract_x
_atom_site_fract_y
_atom_site_fract_z
Tb1 Tb 0.0836 0.4176 0.7532
Tb2 Tb 0.2482 0.2482 0.2467
Tb3 Tb 0.4176 0.0836 0.7532
Tb4 Tb 0.5824 0.9164 0.2468
Tb5 Tb 0.7518 0.7518 0.7533
Tb6 Tb 0.9164 0.5824 0.2468
Pm1 Pm 0.5000 0.5000 0.0000
Nd1 Nd 0.0000 0.0000 0.5000
Nd2 Nd 0.3330 0.6670 0.5000
Nd3 Nd 0.6670 0.3330 0.5000
Er1 Er 0.1667 0.8333 0.0000
Er2 Er 0.8333 0.1667 0.0000
# Fermi-level density of states   15.45 states/eV/cell
# Spin magnetization   0.0 μB/cell
# Uncorrected energy   -55.77 eV/f.u.
# Space group   C2/m (12)

(5)
# AcPd2Au (GGA-PBE, relaxed)
data_AcPd2Au
_chemical_formula_sum 'Ac2 Pd4 Au2'
_symmetry_space_group_name_H-M 'P 1'
_symmetry_Int_Tables_number 1
_cell_length_a 5.5752
_cell_length_b 4.4262
_cell_length_c 7.1848
_cell_angle_alpha 90.00
_cell_angle_beta 90.00
_cell_angle_gamma 90.00
loop_
_symmetry_equiv_pos_as_xyz
'x,y,z'
loop_
_atom_site_label
_atom_site_type_symbol
_atom_site_fract_x
_atom_site_fract_y
_atom_site_fract_z
Ac1 Ac 0.2500 0.0000 0.2083
Ac2 Ac 0.7500 0.0000 0.7917
Pd1 Pd 0.0000 0.5000 0.5000
Pd2 Pd 0.2500 0.0000 0.6316
Pd3 Pd 0.5000 0.5000 0.5000
Pd4 Pd 0.7500 0.0000 0.3684
Au1 Au 0.2500 0.5000 0.8672
Au2 Au 0.7500 0.5000 0.1328
# Fermi-level density of states   2.75 states/eV/cell
# Spin magnetization   0.0 μB/cell
# Uncorrected energy   -20.77 eV/f.u.
# Space group   Pmma (51)

(6)
# K2CuRe (GGA-PBE, relaxed)
data_K2CuRe
_chemical_formula_sum 'K2 Cu1 Re1'
_symmetry_space_group_name_H-M 'P 1'
_symmetry_Int_Tables_number 1
_cell_length_a 5.2847
_cell_length_b 5.2847
_cell_length_c 5.2847
_cell_angle_alpha 119.93
_cell_angle_beta 119.93
_cell_angle_gamma 90.11
loop_
_symmetry_equiv_pos_as_xyz
'x,y,z'
loop_
_atom_site_label
_atom_site_type_symbol
_atom_site_fract_x
_atom_site_fract_y
_atom_site_fract_z
K1 K 0.0000 0.0000 0.0000
K2 K 0.7500 0.2500 0.5000
Cu1 Cu 0.2500 0.7500 0.5000
Re1 Re 0.5000 0.5000 0.0000
# Fermi-level density of states   3.79 states/eV/cell
# Spin magnetization   3.6 μB/cell
# Uncorrected energy   -12.44 eV/f.u.
# Space group   I-4m2 (119)

(7)
# ScHg2Br6 (GGA-PBE, relaxed)
data_ScHg2Br6
_chemical_formula_sum 'Sc2 Hg4 Br12'
_symmetry_space_group_name_H-M 'P 1'
_symmetry_Int_Tables_number 1
_cell_length_a 9.8567
_cell_length_b 9.8567
_cell_length_c 6.6212
_cell_angle_alpha 94.79
_cell_angle_beta 94.79
_cell_angle_gamma 88.77
loop_
_symmetry_equiv_pos_as_xyz
'x,y,z'
loop_
_atom_site_label
_atom_site_type_symbol
_atom_site_fract_x
_atom_site_fract_y
_atom_site_fract_z
Sc1 Sc 0.0755 0.9245 0.7500
Sc2 Sc 0.9245 0.0755 0.2500
Hg1 Hg 0.3400 0.5694 0.9353
Hg2 Hg 0.4306 0.6600 0.5647
Hg3 Hg 0.5694 0.3400 0.4353
Hg4 Hg 0.6600 0.4306 0.0647
Br1 Br 0.0442 0.1711 0.6056
Br2 Br 0.0807 0.6702 0.8594
Br3 Br 0.1711 0.0442 0.1056
Br4 Br 0.2914 0.4494 0.3008
Br5 Br 0.3298 0.9193 0.6406
Br6 Br 0.4494 0.2914 0.8008
Br7 Br 0.5506 0.7086 0.1992
Br8 Br 0.6702 0.0807 0.3594
Br9 Br 0.7086 0.5506 0.6992
Br10 Br 0.8289 0.9558 0.8944
Br11 Br 0.9193 0.3298 0.1406
Br12 Br 0.9558 0.8289 0.3944
# Fermi-level density of states   11.56 states/eV/cell
# Spin magnetization   0.0 μB/cell
# Uncorrected energy   -24.94 eV/f.u.
# Uncorrected formation energy   -885 meV per atom
# Space group   C2/c (15)

(8)
# NdSm3Sb2 (GGA-PBE, relaxed)
data_NdSm3Sb2
_chemical_formula_sum 'Nd2 Sm6 Sb4'
_symmetry_space_group_name_H-M 'P 1'
_symmetry_Int_Tables_number 1
_cell_length_a 9.5832
_cell_length_b 9.5832
_cell_length_c 9.9442
_cell_angle_alpha 114.57
_cell_angle_beta 114.57
_cell_angle_gamma 26.76
loop_
_symmetry_equiv_pos_as_xyz
'x,y,z'
loop_
_atom_site_label
_atom_site_type_symbol
_atom_site_fract_x
_atom_site_fract_y
_atom_site_fract_z
Nd1 Nd 0.1113 0.1113 0.1209
Nd2 Nd 0.8887 0.8887 0.8791
Sm1 Sm 0.0557 0.0557 0.6768
Sm2 Sm 0.3117 0.3117 0.1094
Sm3 Sm 0.3530 0.3530 0.5264
Sm4 Sm 0.6470 0.6470 0.4736
Sm5 Sm 0.6883 0.6883 0.8906
Sm6 Sm 0.9443 0.9443 0.3232
Sb1 Sb 0.2464 0.2464 0.7185
Sb2 Sb 0.4906 0.4906 0.1534
Sb3 Sb 0.5094 0.5094 0.8466
Sb4 Sb 0.7536 0.7536 0.2815
# Fermi-level density of states   14.86 states/eV/cell
# Spin magnetization   0.0 μB/cell
# Uncorrected energy   -31.53 eV/f.u.
# Uncorrected formation energy   -726 meV per atom
# Space group   C2/m (12)

(9)
# GaHg3 (GGA-PBE, relaxed)
data_GaHg3
_chemical_formula_sum 'Ga1 Hg3'
_symmetry_space_group_name_H-M 'P 1'
_symmetry_Int_Tables_number 1
_cell_length_a 3.4025
_cell_length_b 5.1648
_cell_length_c 5.6567
_cell_angle_alpha 90.00
_cell_angle_beta 90.00
_cell_angle_gamma 90.00
loop_
_symmetry_equiv_pos_as_xyz
'x,y,z'
loop_
_atom_site_label
_atom_site_type_symbol
_atom_site_fract_x
_atom_site_fract_y
_atom_site_fract_z
Ga1 Ga 0.0000 0.0000 0.0000
Hg1 Hg 0.0000 0.5000 0.6705
Hg2 Hg 0.5000 0.0000 0.5002
Hg3 Hg 0.5000 0.5000 0.1585
# Fermi-level density of states   1.06 states/eV/cell
# Spin magnetization   0.0 μB/cell
# Uncorrected energy   -3.66 eV/f.u.
# Space group   Pmm2 (25)

(10)
# MnAlSb3 (GGA-PBE, relaxed)
data_MnAlSb3
_chemical_formula_sum 'Mn1 Al1 Sb3'
_symmetry_space_group_name_H-M 'P 1'
_symmetry_Int_Tables_number 1
_cell_length_a 4.9832
_cell_length_b 4.9832
_cell_length_c 4.9832
_cell_angle_alpha 90.00
_cell_angle_beta 90.00
_cell_angle_gamma 90.00
loop_
_symmetry_equiv_pos_as_xyz
'x,y,z'
loop_
_atom_site_label
_atom_site_type_symbol
_atom_site_fract_x
_atom_site_fract_y
_atom_site_fract_z
Mn1 Mn 0.0000 0.0000 0.0000
Al1 Al 0.5000 0.5000 0.5000
Sb1 Sb 0.0000 0.0000 0.5000
Sb2 Sb 0.0000 0.5000 0.0000
Sb3 Sb 0.5000 0.0000 0.0000
# Fermi-level density of states   4.60 states/eV/cell
# Spin magnetization   0.0 μB/cell
# Uncorrected energy   -22.67 eV/f.u.
# Uncorrected formation energy   522 meV per atom
# Space group   Pm-3m (221)